Record 1
Tm2Se5 PBE-GGA relaxed; E = -5.08 eV/atom; symmetry = Cmcm (63)
1.0
1.977 -21.098 0.000
1.977 21.098 0.000
0.000 0.000 3.955
Tm Se
4 10
direct
0.104 0.896 0.750 Tm
0.306 0.694 0.750 Tm
0.694 0.306 0.250 Tm
0.896 0.104 0.250 Tm
0.050 0.950 0.250 Se
0.176 0.824 0.750 Se
0.250 0.750 0.250 Se
0.375 0.625 0.750 Se
0.450 0.550 0.250 Se
0.550 0.450 0.750 Se
0.625 0.375 0.250 Se
0.750 0.250 0.750 Se
0.824 0.176 0.250 Se
0.950 0.050 0.750 Se


Record 2
SnPS PBE-GGA relaxed; E = -4.47 eV/atom; symmetry = Pm (6)
1.0
3.140 0.000 0.000
0.000 4.090 0.000
-0.015 0.000 5.820
Sn P S
1 1 1
direct
0.000 0.000 0.000 Sn
0.004 0.500 0.302 P
0.505 0.500 0.559 S


Record 3
MgTlGe PBE-GGA relaxed; formation energy from the elements = 0.017 eV/atom; E = -2.84 eV/atom; symmetry = C2/m (12)
1.0
4.728 -1.709 0.000
4.728 1.709 0.000
-1.613 0.000 9.222
Mg Tl Ge
2 2 2
direct
0.124 0.124 0.416 Mg
0.876 0.876 0.584 Mg
0.346 0.346 0.888 Tl
0.654 0.654 0.112 Tl
0.388 0.388 0.325 Ge
0.612 0.612 0.675 Ge


Record 4
CsPaSe2Cl PBE-GGA relaxed; E = -5.42 eV/atom; symmetry = P2_1/m (11)
1.0
9.629 0.000 0.000
0.000 4.231 0.000
-2.505 0.000 9.322
Cs Pa Se Cl
2 2 4 2
direct
0.180 0.250 0.267 Cs
0.820 0.750 0.733 Cs
0.337 0.750 0.849 Pa
0.663 0.250 0.151 Pa
0.149 0.250 0.870 Se
0.458 0.750 0.156 Se
0.542 0.250 0.844 Se
0.851 0.750 0.130 Se
0.260 0.750 0.564 Cl
0.740 0.250 0.436 Cl


Record 5
SmYGa2Ni2 PBE-GGA relaxed; formation energy from the elements = -0.585 eV/atom; E = -5.38 eV/atom; symmetry = P-3m1 (164)
1.0
4.303 0.000 0.000
-2.151 3.726 0.000
0.000 0.000 7.177
Sm Y Ga Ni
1 1 2 2
direct
0.000 0.000 0.000 Sm
0.000 0.000 0.500 Y
0.333 0.667 0.260 Ga
0.667 0.333 0.740 Ga
0.333 0.667 0.739 Ni
0.667 0.333 0.261 Ni


Record 6
Dy4Hg3Au PBE-GGA relaxed; formation energy from the elements = -0.579 eV/atom; E = -3.40 eV/atom; symmetry = P4/mmm (123)
1.0
3.685 0.000 0.000
0.000 3.685 0.000
0.000 0.000 14.810
Dy Hg Au
4 3 1
direct
0.000 0.000 0.117 Dy
0.000 0.000 0.372 Dy
0.000 0.000 0.628 Dy
0.000 0.000 0.883 Dy
0.500 0.500 0.248 Hg
0.500 0.500 0.500 Hg
0.500 0.500 0.752 Hg
0.500 0.500 0.000 Au


- What is the E in the fifth record?
  -5.38 eV/atom


- Which value of E does entry 4 give?
  -5.42 eV/atom


Copy entry 2 word for word.
SnPS PBE-GGA relaxed; E = -4.47 eV/atom; symmetry = Pm (6)
1.0
3.140 0.000 0.000
0.000 4.090 0.000
-0.015 0.000 5.820
Sn P S
1 1 1
direct
0.000 0.000 0.000 Sn
0.004 0.500 0.302 P
0.505 0.500 0.559 S